Material: Nd2Si2N5
Method: DFT, PBE
State: optimized geometry

Lattice parameters (Å, degrees): 3.7845 5.4800 5.9361 102.06 90.00 110.20
Element x y z (fractional)
Si 0.8488 0.6976 0.1083
Si 0.1512 0.3024 0.8917
Nd 0.3916 0.7832 0.6750
Nd 0.6084 0.2168 0.3250
N 0.8539 0.7077 0.4040
N 0.0000 0.0000 0.0000
N 0.6751 0.3502 0.9469
N 0.3249 0.6498 0.0531
N 0.1461 0.2923 0.5960

Output
- Formation energy from raw total energies: -0.854 eV per atom
- Size of the total moment: 0.000 μB/f.u.
- Space-group type: C2/m
- Total energy: -69.7 eV per formula unit